# 1
## CaReRh (GGA-PBEsol)

Data for a relaxed structure of CaReRh.

a = 2.9393 Å, b = 2.9393 Å, c = 6.5499 Å
α = 102.97°, β = 102.97°, γ = 90.00°
Last column: nearest neighbours and their distance in Å.
Fractional positions:
Re: 0.3076 0.3076 0.6151  4 Rh 2.54
Ca: 0.0019 0.0019 0.0038  4 Ca 2.94, 4 Rh 3.13, 4 Re 3.19
Rh: 0.6906 0.6906 0.3811  4 Re 2.54

Values from the calculation:
**Electronic total energy**: -7.6289 eV/atom
**Spin magnetization**: 0.00 μB per atom
**ΔE_f**: 239 meV/atom
**Energy above the most stable polymorph in this dataset**: 0.0 kJ/mol of atoms

# 2
## Ca2ReRu (GGA-PBEsol)

Data for a relaxed structure of Ca2ReRu.

a = 2.9413 Å, b = 5.2655 Å, c = 5.4235 Å
α = 60.96°, β = 89.37°, γ = 88.71°
Last column: nearest neighbours and their distance in Å.
Fractional positions:
Re: 0.5000 0.0000 0.0000  2 Ru 2.63, 2 Re 2.94
Ca: 0.0000 0.5000 0.5000  4 Ca 2.63-2.94
Ca: 0.0000 0.0000 0.5000  4 Ca 2.63-2.94
Ru: 0.5000 0.5000 0.0000  2 Re 2.63, 2 Ru 2.94

Values from the calculation:
**Electronic total energy**: -6.1771 eV/atom
**Spin magnetization**: 0.00 μB per atom
**ΔE_f**: 766 meV/atom
**Energy above the most stable polymorph in this dataset**: 0.6 kJ/mol of atoms